No. 1
PBE LaRhAu2, relaxed; SG = Fm-3m, No. 225; crystal system = cubic
1.0
0.0000 3.4969 3.4969
3.4969 0.0000 3.4969
3.4969 3.4969 0.0000
La Rh Au
1 1 2
Cartesian
0.0000 0.0000 0.0000
3.4969 3.4969 3.4969
1.7484 1.7484 1.7484
5.2453 5.2453 5.2453

***

No. 2
PBE La3Rh3Au2, relaxed; SG = P6_3/mcm, No. 193; crystal system = hexagonal
1.0
8.5644 0.0000 0.0000
-4.2822 7.4170 0.0000
0.0000 0.0000 5.7039
La Rh Au
6 6 4
Cartesian
-1.2542 2.1724 1.4260
-3.0280 5.2446 4.2779
2.5084 0.0000 1.4260
1.2542 2.1724 4.2779
6.0559 0.0000 4.2779
3.0280 5.2446 1.4260
-1.6354 2.8326 4.2779
-2.6468 4.5843 1.4260
3.2708 0.0000 4.2779
1.6354 2.8326 1.4260
5.2935 0.0000 1.4260
2.6468 4.5843 4.2779
0.0000 4.9446 0.0000
0.0000 4.9446 2.8519
4.2822 2.4723 0.0000
4.2822 2.4723 2.8519

***

No. 3
PBE La7Rh2Au2, relaxed; SG = Cmmm, No. 65; crystal system = orthorhombic
1.0
4.0322 -5.7846 0.0000
4.0322 5.7846 0.0000
0.0000 0.0000 7.2182
La Rh Au
7 2 2
Cartesian
0.0000 0.0000 0.0000
2.0161 2.8923 1.9149
2.0161 2.8923 5.3033
2.0161 -2.8923 1.9149
2.0161 -2.8923 5.3033
4.0322 0.0000 1.8424
4.0322 0.0000 5.3758
4.0322 2.3789 0.0000
4.0322 -2.3789 0.0000
1.4249 0.0000 3.6091
6.6395 0.0000 3.6091

***

No. 4
PBE LaRhAu2, relaxed; SG = P2/m, No. 10; crystal system = monoclinic
1.0
3.8650 0.0000 0.0000
0.0000 4.6342 0.0000
-1.8923 0.0000 4.9657
La Rh Au
1 1 2
Cartesian
0.0000 0.0000 0.0000
0.9863 0.0000 2.4829
-0.0191 2.3171 3.5658
1.9918 2.3171 1.4000

***

No. 5
PBE LaRhAu2, relaxed; SG = R-3m, No. 166; crystal system = trigonal
1.0
1.5416 0.8901 9.8385
-1.5416 0.8901 9.8385
0.0000 -1.7801 9.8385
La Rh Au
1 1 2
Cartesian
0.0000 0.0000 0.0000
0.0000 0.0000 14.7577
0.0000 0.0000 7.1185
0.0000 0.0000 22.3969

***

No. 6
PBE La4RhAu, relaxed; SG = F-43m, No. 216; crystal system = cubic
1.0
0.0000 4.3858 4.3858
4.3858 0.0000 4.3858
4.3858 4.3858 0.0000
La Rh Au
4 1 1
Cartesian
1.0904 1.0904 1.0904
3.2954 3.2954 1.0904
3.2954 1.0904 3.2954
1.0904 3.2954 3.2954
6.5787 6.5787 6.5787
4.3858 4.3858 4.3858

***

The records above give, respectively, formation enthalpy at 0 K values of -0.382 -0.603 -0.485 -0.467 0.192 0.400 eV per atom.